# PBE Mg2CuH6Ru, optimized geometry
data_Mg2CuH6Ru
_symmetry_space_group_name_H-M 'P -1'
_symmetry_Int_Tables_number 2
_cell_length_a 4.8871
_cell_length_b 4.9019
_cell_length_c 4.9034
_cell_angle_alpha 90.30
_cell_angle_beta 119.82
_cell_angle_gamma 119.79
loop_
_symmetry_equiv_pos_as_xyz
'x,y,z'
'-x,-y,-z'
loop_
_atom_site_label
_atom_site_type_symbol
_atom_site_fract_x
_atom_site_fract_y
_atom_site_fract_z
_atom_site_occupancy
Mg1 Mg 0.0000 0.2497 0.2499 1
Cu1 Cu 0.5000 0.0000 0.5000 1
H1 H 0.0111 0.3103 0.8052 1
H2 H 0.3962 0.2028 0.7023 1
H3 H 0.4931 0.2480 0.2453 1
Ru1 Ru 0.5000 0.5000 0.0000 1
# Total energy, eV/atom: -3.81